Entry 1:
{
  "formula": "KSmNiS3",
  "functional": "GGA-PBE",
  "state": "optimized geometry",
  "total_magnetization_mub_per_atom": 0.21,
  "dft_energy_ev_per_atom": -5.245,
  "space_group": "P2_1/m",
  "lattice": [[-1.335, -3.437, -7.975], [1.271, -3.538, 1.312], [-7.935, -1.160, 4.558]],
  "species": ["K", "K", "Ni", "Ni", "S", "S", "S", "S", "S", "S", "Sm", "Sm"],
  "frac_coords": [[0.805, 0.750, 0.270], [0.195, 0.250, 0.730], [0.079, 0.250, 0.092], [0.921, 0.750, 0.908], [0.174, 0.750, 0.033], [0.548, 0.250, 0.338], [0.107, 0.250, 0.346], [0.893, 0.750, 0.654], [0.452, 0.750, 0.662], [0.826, 0.250, 0.967], [0.330, 0.750, 0.353], [0.670, 0.250, 0.647]]
}

=====

Entry 2:
{
  "formula": "BaPmO3",
  "functional": "GGA-PBE",
  "state": "optimized geometry",
  "total_magnetization_mub_per_atom": 0.20,
  "dft_energy_ev_per_atom": -6.911,
  "space_group": "R-3c",
  "lattice": [[3.175, -1.833, -5.082], [-3.175, -1.833, -5.082], [0.000, 3.666, -5.082]],
  "species": ["Ba", "Ba", "O", "O", "O", "O", "O", "O", "Pm", "Pm"],
  "frac_coords": [[0.250, 0.250, 0.250], [0.750, 0.750, 0.750], [0.750, 0.330, 0.170], [0.670, 0.830, 0.250], [0.170, 0.750, 0.330], [0.830, 0.250, 0.670], [0.330, 0.170, 0.750], [0.250, 0.670, 0.830], [0.000, 0.000, 0.000], [0.500, 0.500, 0.500]]
}

=====

Entry 3:
{
  "formula": "Pr3CdHg2PdAu2",
  "functional": "GGA-PBE",
  "state": "optimized geometry",
  "total_magnetization_mub_per_atom": 0.00,
  "space_group": "Amm2",
  "ef_kj_per_mol_fu": -576,
  "lattice": [[3.991, 0.000, 0.000], [0.000, 6.952, 3.980], [0.000, -6.952, 3.980]],
  "species": ["Au", "Au", "Cd", "Hg", "Hg", "Pd", "Pr", "Pr", "Pr"],
  "frac_coords": [[0.000, 0.667, 0.342], [0.000, 0.342, 0.667], [0.000, 0.746, 0.746], [0.000, 0.997, 0.256], [0.000, 0.256, 0.997], [0.500, 0.995, 0.995], [0.500, 0.601, 0.004], [0.500, 0.391, 0.391], [0.500, 0.004, 0.601]]
}

=====

Entry 4:
{
  "formula": "LiMgNbPd",
  "functional": "GGA-PBE",
  "state": "optimized geometry",
  "total_magnetization_mub_per_atom": 0.00,
  "de_polymorph_ev_per_fu": 0.42,
  "space_group": "F-43m",
  "lattice": [[0.000, 3.186, 3.186], [3.186, 0.000, 3.186], [3.186, 3.186, 0.000]],
  "species": ["Li", "Mg", "Nb", "Pd"],
  "frac_coords": [[0.000, 0.000, 0.000], [0.750, 0.750, 0.750], [0.500, 0.500, 0.500], [0.250, 0.250, 0.250]]
}

=====

Entry 5:
{
  "formula": "HoThSn",
  "functional": "GGA-PBE",
  "state": "optimized geometry",
  "total_magnetization_mub_per_atom": 0.00,
  "dft_energy_ev_per_atom": -5.512,
  "space_group": "F-43m",
  "lattice": [[1.234, 1.509, 4.806], [0.624, 5.040, 1.056], [-3.494, 2.492, 2.913]],
  "species": ["Ho", "Sn", "Th"],
  "frac_coords": [[0.000, 0.000, 0.000], [0.750, 0.750, 0.750], [0.500, 0.500, 0.500]]
}

=====

Entry 6:
{
  "formula": "PrNdP2Ir2Se2",
  "functional": "GGA-PBE",
  "state": "optimized geometry",
  "total_magnetization_mub_per_atom": 0.00,
  "dft_energy_ev_per_atom": -6.659,
  "space_group": "P4mm",
  "lattice": [[4.026, 0.000, 0.000], [0.000, 4.026, 0.000], [0.000, 0.000, 9.908]],
  "species": ["Ir", "Ir", "Nd", "P", "P", "Pr", "Se", "Se"],
  "frac_coords": [[0.500, 0.000, 0.499], [0.000, 0.500, 0.499], [0.000, 0.000, 0.239], [0.500, 0.500, 0.361], [0.000, 0.000, 0.637], [0.500, 0.500, 0.762], [0.500, 0.000, 0.002], [0.000, 0.500, 0.002]]
}

=====

Entry 7:
{
  "formula": "Zr8Cd2C3N3",
  "functional": "GGA-PBE",
  "state": "optimized geometry",
  "total_magnetization_mub_per_atom": 0.00,
  "dft_energy_ev_per_atom": -8.676,
  "space_group": "P-3m1",
  "lattice": [[3.319, 0.000, 0.000], [-1.659, 2.874, 0.000], [0.000, 0.000, 25.745]],
  "species": ["C", "C", "C", "Cd", "Cd", "N", "N", "N", "Zr", "Zr", "Zr", "Zr", "Zr", "Zr", "Zr", "Zr"],
  "frac_coords": [[0.000, 0.000, 0.000], [0.667, 0.333, 0.109], [0.333, 0.667, 0.891], [0.333, 0.667, 0.253], [0.667, 0.333, 0.747], [0.667, 0.333, 0.397], [0.000, 0.000, 0.500], [0.333, 0.667, 0.603], [0.333, 0.667, 0.051], [0.000, 0.000, 0.154], [0.000, 0.000, 0.350], [0.333, 0.667, 0.448], [0.667, 0.333, 0.552], [0.000, 0.000, 0.650], [0.000, 0.000, 0.846], [0.667, 0.333, 0.949]]
}

=====

Entry 8:
{
  "formula": "CdCuAsPd",
  "functional": "GGA-PBE",
  "state": "optimized geometry",
  "de_polymorph_ev_per_fu": 0.00,
  "space_group": "F-43m",
  "lattice": [[-1.863, 2.689, 3.151], [-3.692, 2.450, -1.000], [-4.012, -1.088, 1.830]],
  "species": ["As", "Cd", "Cu", "Pd"],
  "frac_coords": [[0.000, 0.000, 0.000], [0.500, 0.500, 0.500], [0.750, 0.750, 0.750], [0.250, 0.250, 0.250]]
}

=====

Entry 9:
{
  "formula": "Nb2HgPb",
  "functional": "GGA-PBE",
  "state": "optimized geometry",
  "total_magnetization_mub_per_atom": 0.00,
  "dft_energy_ev_per_atom": -5.371,
  "space_group": "F-43m",
  "lattice": [[-3.005, -2.516, 2.984], [-4.807, 1.069, 0.126], [-3.275, -3.155, -1.893]],
  "species": ["Hg", "Nb", "Nb", "Pb"],
  "frac_coords": [[0.250, 0.250, 0.250], [0.000, 0.000, 0.000], [0.750, 0.750, 0.750], [0.500, 0.500, 0.500]]
}

=====

Entry 10:
{
  "formula": "Lu2BAs",
  "functional": "GGA-PBE",
  "state": "optimized geometry",
  "total_magnetization_mub_per_atom": 0.00,
  "dft_energy_ev_per_atom": -5.596,
  "space_group": "P6_3/mmc",
  "lattice": [[3.718, 0.000, 0.000], [-1.859, 3.220, 0.000], [0.000, 0.000, 13.607]],
  "species": ["As", "As", "B", "B", "Lu", "Lu", "Lu", "Lu"],
  "frac_coords": [[0.667, 0.333, 0.250], [0.333, 0.667, 0.750], [0.000, 0.000, 0.000], [0.000, 0.000, 0.500], [0.333, 0.667, 0.111], [0.333, 0.667, 0.389], [0.667, 0.333, 0.611], [0.667, 0.333, 0.889]]
}

=====

Entry 11:
{
  "formula": "ZnAu9",
  "functional": "GGA-PBE",
  "state": "optimized geometry",
  "de_polymorph_ev_per_fu": 0.00,
  "space_group": "Pmmn",
  "ef_kj_per_mol_fu": 14,
  "lattice": [[2.906, 0.000, 0.000], [0.000, 4.126, 0.000], [0.000, 0.000, 44.396]],
  "species": ["Au", "Au", "Au", "Au", "Au", "Au", "Au", "Au", "Au", "Au", "Au", "Au", "Au", "Au", "Au", "Au", "Au", "Au", "Zn", "Zn"],
  "frac_coords": [[0.500, 0.500, 0.204], [0.000, 0.000, 0.246], [0.500, 0.500, 0.279], [0.000, 0.000, 0.314], [0.500, 0.500, 0.347], [0.000, 0.000, 0.381], [0.500, 0.500, 0.415], [0.000, 0.000, 0.449], [0.500, 0.500, 0.483], [0.000, 0.000, 0.517], [0.500, 0.500, 0.551], [0.000, 0.000, 0.585], [0.500, 0.500, 0.619], [0.000, 0.000, 0.653], [0.500, 0.500, 0.686], [0.000, 0.000, 0.721], [0.500, 0.500, 0.754], [0.000, 0.000, 0.796], [0.000, 0.000, 0.185], [0.500, 0.500, 0.815]]
}

=====

Entry 12:
{
  "formula": "MgCdAu2",
  "functional": "GGA-PBE",
  "state": "optimized geometry",
  "dft_energy_ev_per_atom": -2.641,
  "space_group": "P4/mmm",
  "lattice": [[-4.565, 0.498, -0.345], [-0.528, -4.556, 0.412], [-0.228, 0.345, 3.514]],
  "species": ["Au", "Au", "Cd", "Mg"],
  "frac_coords": [[0.500, 0.000, 0.500], [0.000, 0.500, 0.500], [0.000, 0.000, 0.000], [0.500, 0.500, 0.000]]
}